## DyHoCl (PBE)

Data for an optimized crystal structure of DyHoCl.

a b c (Å): 3.6562 9.3685 22.2284
angles (deg): 143.75 154.75 54.16
Fractional coordinates of all 6 atoms:
Dy: 0.5699 0.5371 0.7502
Dy: 0.4301 0.4629 0.2498
Cl: 0.6048 0.8471 0.7501
Cl: 0.3952 0.1529 0.2499
Ho: 0.3575 0.8456 0.2501
Ho: 0.6425 0.1544 0.7499

## Properties
* space-group type: No. 15
* formation energy without anion corrections: -0.887 eV/atom
* final energy: -4.563 eV per atom
* offset from the most stable computed form: 8 meV per atom

## DyHoCl (PBE)

Data for an optimized crystal structure of DyHoCl.

a b c (Å): 3.6573 3.6573 6.9595
angles (deg): 90.00 90.00 120.00
Fractional coordinates of all 3 atoms:
Dy: 0.3333 0.6667 0.6439
Ho: 0.0000 0.0000 0.0235
Cl: 0.6667 0.3333 0.3326

## Properties
* space-group type: No. 156
* formation energy without anion corrections: -0.895 eV/atom
* final energy: -4.571 eV per atom
* offset from the most stable computed form: 0 meV per atom

## DyHoCl3 (PBE)

Data for an optimized crystal structure of DyHoCl3.

a b c (Å): 3.8178 8.2983 9.5606
angles (deg): 71.58 78.48 76.70
Fractional coordinates of all 10 atoms:
Ho: 0.5819 0.7902 0.0460
Ho: 0.4181 0.2098 0.9540
Cl: 0.3369 0.8198 0.5064
Cl: 0.6631 0.1802 0.4936
Cl: 0.0400 0.6622 0.2578
Cl: 0.2207 0.6768 0.8818
Cl: 0.9600 0.3378 0.7422
Cl: 0.7793 0.3232 0.1182
Dy: 0.1384 0.0125 0.7106
Dy: 0.8616 0.9875 0.2894

## Properties
* space-group type: No. 12
* formation energy without anion corrections: -1.827 eV/atom
* final energy: -4.771 eV per atom

## DyI2Cl (PBE)

Data for an optimized crystal structure of DyI2Cl.

a b c (Å): 3.8732 7.5522 7.5522
angles (deg): 61.12 75.12 75.12
Fractional coordinates of all 4 atoms:
Cl: 0.2500 0.1370 0.3630
I: 0.4124 0.5720 0.6036
I: 0.0876 0.8964 0.9280
Dy: 0.7500 0.8945 0.6055

## Properties
* space-group type: No. 44
* formation energy without anion corrections: -1.628 eV/atom
* final energy: -4.015 eV per atom
* offset from the most stable computed form: 44 meV per atom

## DyI2Cl (PBE)

Data for an optimized crystal structure of DyI2Cl.

a b c (Å): 4.3451 5.2829 8.6261
angles (deg): 89.16 75.66 90.00
Fractional coordinates of all 4 atoms:
Cl: 0.9991 0.5000 0.9999
Dy: 0.0003 0.9999 0.0001
I: 0.6260 0.0060 0.7444
I: 0.3745 0.9941 0.2557

## Properties
* space-group type: No. 1
* formation energy without anion corrections: -1.672 eV/atom
* final energy: -4.059 eV per atom
* offset from the most stable computed form: 0 meV per atom

## DyTl2I3Cl3 (PBE)

Data for an optimized crystal structure of DyTl2I3Cl3.

a b c (Å): 3.6798 10.0194 10.0194
angles (deg): 120.00 90.00 90.00
Fractional coordinates of all 9 atoms:
Dy: 0.0000 0.0000 0.0000
Cl: 0.5000 0.1952 0.1952
Cl: 0.5000 0.0000 0.8048
Cl: 0.5000 0.8048 0.0000
I: 0.0000 0.5772 0.5772
I: 0.0000 0.0000 0.4228
I: 0.0000 0.4228 0.0000
Tl: 0.5000 0.6667 0.3333
Tl: 0.5000 0.3333 0.6667

## Properties
* space-group type: No. 189
* formation energy without anion corrections: -1.196 eV/atom
* final energy: -3.366 eV per atom